The following is a DFT calculation (PBE) of crystalline HfZr2Bi2 at its relaxed geometry.

Cell: 7.963 7.963 3.834 Å, 90.00 90.00 90.00°
Atoms (fractional coordinates):
Hf 0.000 0.000 0.000
Hf 0.500 0.500 0.000
Bi 0.351 0.851 0.000
Bi 0.851 0.649 0.000
Bi 0.649 0.149 0.000
Bi 0.149 0.351 0.000
Zr 0.150 0.650 0.500
Zr 0.650 0.850 0.500
Zr 0.850 0.350 0.500
Zr 0.350 0.150 0.500

energy relative to the lowest polymorph listed for this composition: 0 meV per atom
SG: P4/mbm
V: 243 Å³/cell
energy of formation: -189 meV per atom